DFT (GGA-PBE) results for Cs3RbMn2Cl9 after structural relaxation.

abc: 7.388 7.388 10.152
angles: 90.00 90.00 120.00
Last column: magnetic moment on the atom in μB.
Element x y z (fractional)
Cl 0.644 0.822 0.279  0.04
Cl 0.500 0.000 0.000  -0.01
Cl 0.178 0.356 0.279  0.04
Cl 0.822 0.178 0.721  0.04
Cl 0.822 0.644 0.721  0.04
Cl 0.000 0.500 0.000  -0.01
Cl 0.356 0.178 0.721  0.04
Cl 0.178 0.822 0.279  0.04
Cl 0.500 0.500 0.000  -0.01
Cs 0.667 0.333 0.286  0.00
Cs 0.000 0.000 0.000  0.00
Cs 0.333 0.667 0.714  0.00
Mn 0.333 0.667 0.151  4.07
Mn 0.667 0.333 0.849  4.07
Rb 0.000 0.000 0.500  0.01

Properties
E_form (uncorrected) (meV per atom): -1558
N(E_F) (states/eV/f.u.): 2.6

DFT (GGA-PBE) results for CsRb2MnCl8 after structural relaxation.

abc: 6.978 5.786 9.582
angles: 75.69 90.03 90.04
Last column: magnetic moment on the atom in μB.
Element x y z (fractional)
Cl 0.768 0.167 0.114  0.00
Cl 0.233 0.167 0.113  0.00
Cl 0.500 0.243 0.496  0.00
Cl 0.767 0.833 0.887  0.00
Cl 0.500 0.757 0.504  0.00
Cl 0.000 0.678 0.196  0.00
Cl 0.000 0.322 0.804  0.00
Cl 0.232 0.833 0.886  0.00
Rb 0.500 0.652 0.184  0.00
Rb 0.500 0.348 0.816  0.00
Mn 0.000 0.000 0.000  2.89
Cs 0.000 0.000 0.500  0.00

Properties
E_form (uncorrected) (meV per atom): -1348
N(E_F) (states/eV/f.u.): 8.9

DFT (GGA-PBE) results for Cs2RbMnCl6 after structural relaxation.

abc: 7.823 7.830 11.060
angles: 90.00 90.00 90.00
Last column: magnetic moment on the atom in μB.
Element x y z (fractional)
Cl 0.000 0.752 0.217  0.01
Cl 0.783 0.535 0.000  0.01
Cl 0.283 0.032 0.500  0.01
Cl 0.217 0.535 0.000  0.01
Cl 0.000 0.752 0.783  0.01
Cl 0.283 0.465 0.500  0.01
Cl 0.717 0.032 0.500  0.01
Cl 0.717 0.465 0.500  0.01
Cl 0.783 0.968 0.000  0.01
Cl 0.500 0.248 0.717  0.01
Cl 0.217 0.968 0.000  0.01
Cl 0.500 0.248 0.283  0.01
Cs 0.500 0.751 0.250  0.00
Cs 0.000 0.249 0.750  0.00
Cs 0.000 0.249 0.250  0.00
Cs 0.500 0.751 0.750  0.00
Rb 0.500 0.252 0.000  0.00
Rb 0.000 0.748 0.500  0.00
Mn 0.000 0.751 0.000  3.69
Mn 0.500 0.249 0.500  3.69

Properties
E_form (uncorrected) (meV per atom): -1591
N(E_F) (states/eV/f.u.): 6.0

DFT (GGA-PBE) results for CsRb2MnCl6 after structural relaxation.

abc: 7.625 8.303 10.822
angles: 90.00 87.89 90.00
Last column: magnetic moment on the atom in μB.
Element x y z (fractional)
Cl 0.839 0.758 0.911  0.06
Cl 0.113 0.437 0.805  -0.01
Cl 0.247 0.655 0.034  -0.01
Cl 0.161 0.242 0.089  0.06
Cl 0.753 0.345 0.966  -0.01
Cl 0.387 0.937 0.695  -0.01
Cl 0.339 0.742 0.411  0.06
Cl 0.747 0.845 0.534  -0.01
Cl 0.613 0.063 0.305  -0.01
Cl 0.887 0.563 0.195  -0.01
Cl 0.661 0.258 0.589  0.06
Cl 0.253 0.155 0.466  -0.01
Rb 0.471 0.436 0.241  0.00
Rb 0.529 0.564 0.759  0.00
Rb 0.029 0.936 0.259  0.00
Rb 0.971 0.064 0.741  0.00
Cs 0.000 0.500 0.500  0.00
Cs 0.500 0.000 0.000  0.00
Mn 0.000 0.500 0.000  3.67
Mn 0.500 0.000 0.500  3.67

Properties
E_form (uncorrected) (meV per atom): -1575
N(E_F) (states/eV/f.u.): 0.4